This record from Alexandria via LeMat-Bulk describes a relaxed NiPOs2 crystal. The functional is PBE.

Cell: 2.7867 2.7867 8.0852 Å, 90.00 90.00 119.43°
Fractional coordinates of all 4 atoms:
Os  0.0000  0.0000  0.7296
Os  0.0000  0.0000  0.2705
Ni  0.5000  0.5000  0.0000
P  0.5000  0.5000  0.5000

Output
Energy of formation, eV per atom: 0.4967
ΔE to the lowest computed polymorph, meV per atom: 489
Total magnetic moment, Bohr magnetons per cell: 0.00
DOS at the Fermi energy, states/eV/atom: 1.08
Space group: Cmmm

---

This record from Alexandria via LeMat-Bulk describes a relaxed NiP2Os crystal. The functional is PBE.

Cell: 4.1913 4.1913 4.1913 Å, 60.00 60.00 60.00°
Fractional coordinates of all 4 atoms:
P  0.0000  0.0000  0.0000
P  0.2500  0.2500  0.2500
Os  0.7500  0.7500  0.7500
Ni  0.5000  0.5000  0.5000

Output
Energy of formation, eV per atom: 0.5649
ΔE to the lowest computed polymorph, meV per atom: 829
Total magnetic moment, Bohr magnetons per cell: 0.00
DOS at the Fermi energy, states/eV/atom: 0.93
Space group: F-43m

---

This record from Alexandria via LeMat-Bulk describes a relaxed NiP2Os crystal. The functional is PBE.

Cell: 7.2001 7.2001 7.2001 Å, 23.95 23.95 23.95°
Fractional coordinates of all 4 atoms:
P  0.0015  0.0015  0.0015
P  0.2433  0.2433  0.2433
Ni  0.5131  0.5131  0.5131
Os  0.7420  0.7420  0.7420

Output
Energy of formation, eV per atom: -0.0041
ΔE to the lowest computed polymorph, meV per atom: 260
Total magnetic moment, Bohr magnetons per cell: 0.00
DOS at the Fermi energy, states/eV/atom: 0.58
Space group: R3m

---

This record from Alexandria via LeMat-Bulk describes a relaxed NiPOs2 crystal. The functional is PBE.

Cell: 4.6070 4.6070 4.6070 Å, 132.78 132.78 69.00°
Fractional coordinates of all 4 atoms:
Os  0.0000  0.0000  0.0000
Os  0.2500  0.7500  0.5000
P  0.5000  0.5000  0.0000
Ni  0.7500  0.2500  0.5000

Output
Energy of formation, eV per atom: 0.2869
ΔE to the lowest computed polymorph, meV per atom: 279
Total magnetic moment, Bohr magnetons per cell: 0.00
DOS at the Fermi energy, states/eV/atom: 0.79
Space group: I-4m2

---

This record from Alexandria via LeMat-Bulk describes a relaxed NiP2Os crystal. The functional is PBE.

Cell: 3.9322 3.9322 5.1786 Å, 91.37 91.37 44.65°
Fractional coordinates of all 4 atoms:
Os  0.6833  0.6833  0.7816
P  0.2876  0.2876  0.4624
P  0.9661  0.9661  0.9802
Ni  0.5630  0.5630  0.2757

Output
Energy of formation, eV per atom: -0.2644
ΔE to the lowest computed polymorph, meV per atom: 0
Total magnetic moment, Bohr magnetons per cell: 0.00
DOS at the Fermi energy, states/eV/atom: 0.35
Space group: Cm

---

This record from Alexandria via LeMat-Bulk describes a relaxed NiPOs2 crystal. The functional is PBE.

Cell: 2.7501 4.2803 4.5819 Å, 90.00 90.00 90.00°
Fractional coordinates of all 4 atoms:
P  0.5000  0.5000  0.0000
Os  0.5000  0.0000  0.5000
Os  0.0000  0.0000  0.0000
Ni  0.0000  0.5000  0.5000

Output
Energy of formation, eV per atom: 0.4555
ΔE to the lowest computed polymorph, meV per atom: 448
Total magnetic moment, Bohr magnetons per cell: 0.00
DOS at the Fermi energy, states/eV/atom: 0.96
Space group: Pmmm

---

This record from Alexandria via LeMat-Bulk describes a relaxed Ni4POs crystal. The functional is PBE.

Cell: 4.6662 4.6662 4.6662 Å, 60.00 60.00 60.00°
Site moments in Bohr magnetons follow the coordinates.
Fractional coordinates of all 6 atoms:
Ni  0.3752  0.8744  0.3752  0.47
Ni  0.3752  0.3752  0.8744  0.47
Ni  0.8744  0.3752  0.3752  0.47
Ni  0.3752  0.3752  0.3752  0.47
P  0.0000  0.0000  0.0000  -0.01
Os  0.7500  0.7500  0.7500  0.84

Output
Energy of formation, eV per atom: 0.4132
Total magnetic moment, Bohr magnetons per cell: 2.65
DOS at the Fermi energy, states/eV/atom: 1.72
Space group: F-43m

---

This record from Alexandria via LeMat-Bulk describes a relaxed NiPOs2 crystal. The functional is PBE.

Cell: 5.2247 5.2247 3.7217 Å, 90.00 90.00 148.62°
Fractional coordinates of all 4 atoms:
Os  0.0651  0.9349  0.0000
Os  0.4374  0.5626  0.5000
Ni  0.7050  0.2950  0.5000
P  0.2904  0.7096  0.0000

Output
Energy of formation, eV per atom: 0.0075
ΔE to the lowest computed polymorph, meV per atom: 0
Total magnetic moment, Bohr magnetons per cell: 0.00
DOS at the Fermi energy, states/eV/atom: 0.67
Space group: Amm2

---

This record from Alexandria via LeMat-Bulk describes a relaxed NiPOs2 crystal. The functional is PBE.

Cell: 8.0163 8.0163 8.0163 Å, 19.93 19.93 19.93°
Fractional coordinates of all 4 atoms:
Os  0.7579  0.7579  0.7579
Os  0.9989  0.9989  0.9989
Ni  0.2408  0.2408  0.2408
P  0.5024  0.5024  0.5024

Output
Energy of formation, eV per atom: 0.0704
ΔE to the lowest computed polymorph, meV per atom: 63
Total magnetic moment, Bohr magnetons per cell: 0.00
DOS at the Fermi energy, states/eV/atom: 0.59
Space group: R3m

---

This record from Alexandria via LeMat-Bulk describes a relaxed NiPOs2 crystal. The functional is PBE.

Cell: 7.9943 7.9943 7.9943 Å, 20.10 20.10 20.10°
Site moments in Bohr magnetons follow the coordinates.
Fractional coordinates of all 4 atoms:
Ni  0.0000  0.0000  0.0000  0.11
Os  0.2435  0.2435  0.2435  0.02
Os  0.7565  0.7565  0.7565  0.02
P  0.5000  0.5000  0.5000  0.00

Output
Energy of formation, eV per atom: 0.1746
ΔE to the lowest computed polymorph, meV per atom: 167
Total magnetic moment, Bohr magnetons per cell: 0.15
DOS at the Fermi energy, states/eV/atom: 1.39
Space group: R-3m

---

This record from Alexandria via LeMat-Bulk describes a relaxed NiPOs2 crystal. The functional is PBE.

Cell: 5.0355 5.0355 6.6960 Å, 67.91 67.91 90.00°
Fractional coordinates of all 8 atoms:
Os  0.8750  0.8638  0.7500
Os  0.3750  0.3862  0.7500
Os  0.1362  0.6250  0.2500
Os  0.6138  0.1250  0.2500
Ni  0.0000  0.0000  0.0000
Ni  0.7500  0.2500  0.5000
P  0.2500  0.7500  0.5000
P  0.5000  0.5000  0.0000

Output
Energy of formation, eV per atom: 0.8679
ΔE to the lowest computed polymorph, meV per atom: 860
Total magnetic moment, Bohr magnetons per cell: 0.00
DOS at the Fermi energy, states/eV/atom: 1.11
Space group: I-42d

---

This record from Alexandria via LeMat-Bulk describes a relaxed Pm2Ni3P4Os crystal. The functional is PBE.

Cell: 4.0190 4.0190 9.4492 Å, 90.00 90.00 90.00°
Fractional coordinates of all 10 atoms:
P  0.0000  0.5000  0.3623
P  0.0000  0.0000  0.0000
P  0.5000  0.0000  0.6377
P  0.5000  0.5000  0.0000
Pm  0.0000  0.5000  0.7611
Pm  0.5000  0.0000  0.2389
Ni  0.5000  0.0000  0.8846
Ni  0.0000  0.0000  0.5000
Ni  0.0000  0.5000  0.1154
Os  0.5000  0.5000  0.5000

Output
Energy of formation, eV per atom: -0.9090
Total magnetic moment, Bohr magnetons per cell: 0.00
DOS at the Fermi energy, states/eV/atom: 0.39
Space group: P-4m2

---

This record from Alexandria via LeMat-Bulk describes a relaxed PrNiP2Os crystal. The functional is PBE.

Cell: 3.8212 3.8212 6.3970 Å, 107.38 107.38 90.00°
Fractional coordinates of all 5 atoms:
Os  0.7500  0.2500  0.5000
Ni  0.2500  0.7500  0.5000
P  0.6358  0.6358  0.2716
P  0.3642  0.3642  0.7284
Pr  0.0000  0.0000  0.0000

Output
Energy of formation, eV per atom: -0.7984
Total magnetic moment, Bohr magnetons per cell: 0.00
DOS at the Fermi energy, states/eV/atom: 0.64
Space group: I-4m2

---

This record from Alexandria via LeMat-Bulk describes a relaxed NiPOsS2 crystal. The functional is PBE.

Cell: 4.3157 4.3157 4.2279 Å, 90.00 90.00 90.00°
Fractional coordinates of all 5 atoms:
P  0.0000  0.0000  0.5000
S  0.0000  0.5000  0.0000
S  0.5000  0.0000  0.0000
Os  0.5000  0.5000  0.5000
Ni  0.0000  0.0000  0.0000

Output
ΔE to the lowest computed polymorph, meV per atom: 92
Total magnetic moment, Bohr magnetons per cell: 0.00
DOS at the Fermi energy, states/eV/atom: 1.02
Space group: P4/mmm
E_form (uncorrected), eV per atom: 1.1212

---

This record from Alexandria via LeMat-Bulk describes a relaxed NiPOsS2 crystal. The functional is PBE.

Cell: 4.6912 4.6912 4.4726 Å, 90.00 90.00 90.00°
Site moments in Bohr magnetons follow the coordinates.
Fractional coordinates of all 5 atoms:
Ni  0.5000  0.5000  0.5000  0.90
S  0.5000  0.0000  0.0000  0.11
S  0.0000  0.5000  0.0000  0.11
P  0.0000  0.0000  0.5000  0.04
Os  0.0000  0.0000  0.0000  0.07

Output
ΔE to the lowest computed polymorph, meV per atom: 0
Total magnetic moment, Bohr magnetons per cell: 1.38
DOS at the Fermi energy, states/eV/atom: 1.40
Space group: P4/mmm
E_form (uncorrected), eV per atom: 1.0288

---

This record from Alexandria via LeMat-Bulk describes a relaxed NiP2OsS crystal. The functional is PBE.

Cell: 4.4137 4.4137 5.2333 Å, 90.00 90.00 90.00°
Site moments in Bohr magnetons follow the coordinates.
Fractional coordinates of all 5 atoms:
P  0.5000  0.0000  0.0000  0.03
P  0.0000  0.5000  0.0000  0.03
Ni  0.5000  0.5000  0.5000  0.92
Os  0.0000  0.0000  0.0000  -0.04
S  0.0000  0.0000  0.5000  0.12

Output
ΔE to the lowest computed polymorph, meV per atom: 0
Total magnetic moment, Bohr magnetons per cell: 1.12
DOS at the Fermi energy, states/eV/atom: 0.83
Space group: P4/mmm
E_form (uncorrected), eV per atom: 0.9986

---

This record from Alexandria via LeMat-Bulk describes a relaxed NiSb2POs crystal. The functional is PBE.

Cell: 5.0845 4.0064 5.0845 Å, 90.00 90.00 90.00°
Site moments in Bohr magnetons follow the coordinates.
Fractional coordinates of all 5 atoms:
Ni  0.0000  0.5000  0.0000  0.07
Os  0.5000  0.5000  0.5000  0.77
Sb  0.0000  0.0000  0.5000  -0.02
Sb  0.5000  0.0000  0.0000  -0.01
P  0.0000  0.0000  0.0000  0.01

Output
Total magnetic moment, Bohr magnetons per cell: 0.82
DOS at the Fermi energy, states/eV/atom: 0.79
Space group: P4/mmm
E_form (uncorrected), eV per atom: 1.0917

---

This record from Alexandria via LeMat-Bulk describes a relaxed NiSn2POs crystal. The functional is PBE.

Cell: 4.7695 4.7086 4.7695 Å, 90.00 90.00 90.00°
Site moments in Bohr magnetons follow the coordinates.
Fractional coordinates of all 5 atoms:
Sn  0.0000  0.0000  0.5000  0.00
Sn  0.5000  0.0000  0.0000  0.02
Ni  0.0000  0.0000  0.0000  0.40
P  0.5000  0.5000  0.5000  -0.03
Os  0.0000  0.5000  0.0000  1.59

Output
Energy of formation, eV per atom: 1.0560
Total magnetic moment, Bohr magnetons per cell: 2.07
DOS at the Fermi energy, states/eV/atom: 0.94
Space group: P4/mmm

---

This record from Alexandria via LeMat-Bulk describes a relaxed SrNiP2Os crystal. The functional is PBE.

Cell: 3.8544 3.8544 6.6423 Å, 106.87 106.87 90.00°
Fractional coordinates of all 5 atoms:
Sr  0.0000  0.0000  0.0000
P  0.3562  0.3562  0.7124
P  0.6438  0.6438  0.2876
Os  0.2500  0.7500  0.5000
Ni  0.7500  0.2500  0.5000

Output
Energy of formation, eV per atom: -0.7042
Total magnetic moment, Bohr magnetons per cell: 0.00
DOS at the Fermi energy, states/eV/atom: 0.57
Space group: I-4m2

---

This record from Alexandria via LeMat-Bulk describes a relaxed U2Ni3P4Os crystal. The functional is PBE.

Cell: 4.0210 4.0210 9.1257 Å, 90.00 90.00 90.00°
Site moments in Bohr magnetons follow the coordinates.
Fractional coordinates of all 10 atoms:
Os  0.5000  0.5000  0.5000  0.11
U  0.5000  0.0000  0.2389  2.01
U  0.0000  0.5000  0.7611  2.01
P  0.5000  0.0000  0.6414  0.00
P  0.0000  0.5000  0.3586  0.00
P  0.5000  0.5000  0.0000  0.00
P  0.0000  0.0000  0.0000  0.00
Ni  0.0000  0.5000  0.1133  0.13
Ni  0.5000  0.0000  0.8867  0.13
Ni  0.0000  0.0000  0.5000  0.33

Output
Energy of formation, eV per atom: -0.6762
Total magnetic moment, Bohr magnetons per cell: 5.11
DOS at the Fermi energy, states/eV/atom: 1.57
Space group: P-4m2